This record from the Alexandria database describes a geometry-optimized BSbTe2Pd structure. The functional is PBE.

The space group is P4/mmm (No. 123) and the conventional cell measures 4.8314, 4.8314 and 4.7154 Å, with angles of 90.00, 90.00 and 90.00 degrees. The distinct sites, in fractional coordinates, are B at (0.0000, 0.0000, 0.0000), Sb at (0.0000, 0.0000, 0.5000), Te at (0.0000, 0.5000, 0.0000) and Pd at (0.5000, 0.5000, 0.5000).

The volume comes out at 22.01 Å³ per atom. The formation energy (no corrections) comes out at 0.75 eV per atom. As for the theoretical density: 7.5 g/cm3. Its energy above the lowest structure with this stoichiometry is 0 meV per atom.

---

This record from the Alexandria database describes a geometry-optimized TbPmTc structure. The functional is PBE.

The space group is I4mm (No. 107) and the conventional cell measures 3.5005, 3.5005 and 12.8550 Å, with angles of 90.00, 90.00 and 90.00 degrees. The distinct sites, in fractional coordinates, are Tb at (0.0000, 0.0000, 0.0000), Pm at (0.0000, 0.0000, 0.2574) and Tc at (0.0000, 0.0000, 0.6254).

The volume comes out at 26.25 Å³ per atom. The calculated formation energy comes out at 31 meV per atom. As for the theoretical density: 8.5 g/cm3.

---

This record from the Alexandria database describes a geometry-optimized TbCe5Pb6 structure. The functional is PBE.

The space group is C2/m (No. 12) and the conventional cell measures 7.8548, 13.6089 and 7.8565 Å, with angles of 90.00, 109.47 and 90.00 degrees. The distinct sites, in fractional coordinates, are Tb at (0.0000, 0.0000, 0.0000), Ce at (0.0000, 0.1662, 0.5000), Ce at (0.0000, 0.3333, 0.0000), Ce at (0.0000, 0.5000, 0.5000), Pb at (0.2493, 0.3328, 0.7496) and Pb at (0.2489, 0.5000, 0.2502).

The volume comes out at 32.99 Å³ per atom. The calculated formation energy comes out at -304 meV per atom. As for the theoretical density: 8.8 g/cm3. Its energy above the lowest structure with this stoichiometry is 98 meV per atom.

---

This record from the Alexandria database describes a geometry-optimized Mn2CrCuN structure. The functional is PBE.

The space group is P4/mmm (No. 123) and the conventional cell measures 3.7836, 3.7836 and 3.8705 Å, with angles of 90.00, 90.00 and 90.00 degrees. The distinct sites, in fractional coordinates, are Mn at (0.0000, 0.5000, 0.0000), Cr at (0.0000, 0.0000, 0.5000), Cu at (0.5000, 0.5000, 0.5000) and N at (0.0000, 0.0000, 0.0000).

The volume comes out at 11.08 Å³ per atom. The formation energy (no corrections) comes out at -0.13 eV per atom. As for the theoretical density: 7.2 g/cm3.

---

> Among the records above, which one has the lowest volume?

Mn2CrCuN